A) Crystalline P2PdCl at its relaxed geometry. Source: Alexandria, functional PBE.

```
data_P2PdCl
_cell_length_a 5.964
_cell_length_b 5.964
_cell_length_c 10.500
_cell_angle_alpha 90.00
_cell_angle_beta 90.00
_cell_angle_gamma 90.00
_space_group_name_H-M_alt 'I -4 2 d'
_space_group_IT_number 122
_space_group_name_Hall 'I -4 2bw'
loop_
_atom_site_label
_atom_site_fract_x
_atom_site_fract_y
_atom_site_fract_z
_atom_site_occupancy
P1 0.184 0.250 0.125 1
Pd1 0.000 0.000 0.000 1
Cl1 0.000 0.000 0.500 1
```

spin magnetization = 0.0 μB/cell

***

B) Crystalline P2PdCl at its relaxed geometry. Source: Alexandria, functional PBE.

```
data_P2PdCl
_cell_length_a 6.313
_cell_length_b 6.313
_cell_length_c 6.313
_cell_angle_alpha 90.00
_cell_angle_beta 90.00
_cell_angle_gamma 90.00
_space_group_name_H-M_alt 'F m -3 m'
_space_group_IT_number 225
_space_group_name_Hall '-F 4 2 3'
loop_
_atom_site_label
_atom_site_fract_x
_atom_site_fract_y
_atom_site_fract_z
_atom_site_occupancy
P1 0.250 0.250 0.250 1
Pd1 0.000 0.000 0.000 1
Cl1 0.000 0.000 0.500 1
```

spin magnetization = 0.0 μB/cell

***

Stability summary - winner: A); margin: 277 meV/atom.